{
  "formula": "RbNa3Zn",
  "functional": "PBE",
  "state": "relaxed",
  "lattice_angstrom": [[7.215, 0.000, 0.000], [0.000, 7.215, 0.000], [0.000, 0.000, 7.215]],
  "species": ["Rb", "Na", "Na", "Na", "Zn"],
  "fractional_positions": [[0.000, 0.000, 0.000], [0.000, 0.000, 0.500], [0.000, 0.500, 0.000], [0.500, 0.000, 0.000], [0.500, 0.500, 0.500]],
  "de_polymorph_ev_per_fu": 2.60,
  "total_magnetization_mub_per_fu": 0.00,
  "formation_enthalpy_0k_ev_per_atom": 0.616
}


{
  "formula": "RbNa2Zn2",
  "functional": "PBE",
  "state": "relaxed",
  "lattice_angstrom": [[5.049, 0.000, 0.000], [0.000, 5.049, 0.000], [0.000, 0.000, 13.288]],
  "species": ["Rb", "Rb", "Na", "Na", "Na", "Na", "Zn", "Zn", "Zn", "Zn"],
  "fractional_positions": [[0.000, 0.000, 0.000], [0.500, 0.500, 0.500], [0.000, 0.500, 0.250], [0.000, 0.500, 0.750], [0.500, 0.000, 0.250], [0.500, 0.000, 0.750], [0.000, 0.000, 0.403], [0.000, 0.000, 0.597], [0.500, 0.500, 0.097], [0.500, 0.500, 0.903]],
  "de_polymorph_ev_per_fu": 0.00,
  "total_magnetization_mub_per_fu": 0.00,
  "formation_enthalpy_0k_ev_per_atom": 0.109
}


{
  "formula": "Rb2Na2Zn",
  "functional": "PBE",
  "state": "relaxed",
  "lattice_angstrom": [[9.800, 0.000, 0.000], [0.000, 9.800, 0.000], [0.000, 0.000, 6.023]],
  "species": ["Rb", "Rb", "Rb", "Rb", "Na", "Na", "Na", "Na", "Zn", "Zn"],
  "fractional_positions": [[0.165, 0.335, 0.000], [0.335, 0.835, 0.000], [0.665, 0.165, 0.000], [0.835, 0.665, 0.000], [0.140, 0.640, 0.500], [0.360, 0.140, 0.500], [0.640, 0.860, 0.500], [0.860, 0.360, 0.500], [0.000, 0.000, 0.000], [0.500, 0.500, 0.000]],
  "de_polymorph_ev_per_fu": 0.52,
  "total_magnetization_mub_per_fu": 0.00,
  "formation_enthalpy_0k_ev_per_atom": 0.240
}


{
  "formula": "Rb2Na2Zn",
  "functional": "PBE",
  "state": "relaxed",
  "lattice_angstrom": [[4.680, 0.000, 0.000], [0.000, 4.680, 0.000], [0.000, 0.000, 23.291]],
  "species": ["Rb", "Rb", "Rb", "Rb", "Na", "Na", "Na", "Na", "Zn", "Zn"],
  "fractional_positions": [[0.000, 0.000, 0.092], [0.000, 0.000, 0.908], [0.500, 0.500, 0.408], [0.500, 0.500, 0.592], [0.000, 0.500, 0.250], [0.000, 0.500, 0.750], [0.500, 0.000, 0.250], [0.500, 0.000, 0.750], [0.000, 0.000, 0.500], [0.500, 0.500, 0.000]],
  "de_polymorph_ev_per_fu": 0.10,
  "total_magnetization_mub_per_fu": 0.00,
  "formation_enthalpy_0k_ev_per_atom": 0.156
}